# Cs2RbNdI6 (PBE-GGA, optimized geometry)
# * crystal system: monoclinic
# * DFT total energy: -3.188 eV per atom
# * space group: P2_1/c (14)
data_Cs2RbNdI6
_symmetry_space_group_name_H-M 'P 1'
_symmetry_Int_Tables_number 1
_symmetry_space_group_name_Hall 'P 1'
_cell_length_a 8.977
_cell_length_b 9.524
_cell_length_c 12.841
_cell_angle_alpha 90.00
_cell_angle_beta 89.16
_cell_angle_gamma 90.00
loop_
_atom_site_label
_atom_site_fract_x
_atom_site_fract_y
_atom_site_fract_z
_atom_site_occupancy
Nd1 0.500 0.000 0.500 1
Nd2 0.000 0.500 0.000 1
I1 0.387 0.964 0.730 1
I2 0.887 0.536 0.230 1
I3 0.613 0.036 0.270 1
I4 0.218 0.181 0.449 1
I5 0.718 0.319 0.949 1
I6 0.782 0.819 0.551 1
I7 0.113 0.464 0.770 1
I8 0.173 0.225 0.062 1
I9 0.327 0.725 0.438 1
I10 0.282 0.681 0.051 1
I11 0.673 0.275 0.562 1
I12 0.827 0.775 0.938 1
Cs1 0.529 0.577 0.753 1
Cs2 0.471 0.423 0.247 1
Cs3 0.971 0.077 0.747 1
Cs4 0.029 0.923 0.253 1
Rb1 0.000 0.500 0.500 1
Rb2 0.500 0.000 0.000 1

---

# CsNdSeI (PBE-GGA, optimized geometry)
# * crystal system: trigonal
# * DFT total energy: -4.057 eV per atom
# * space group: R3m (160)
data_CsNdSeI
_symmetry_space_group_name_H-M 'P 1'
_symmetry_Int_Tables_number 1
_symmetry_space_group_name_Hall 'P 1'
_cell_length_a 4.404
_cell_length_b 4.405
_cell_length_c 9.439
_cell_angle_alpha 90.00
_cell_angle_beta 103.53
_cell_angle_gamma 119.94
loop_
_atom_site_label
_atom_site_fract_x
_atom_site_fract_y
_atom_site_fract_z
_atom_site_occupancy
Nd1 0.113 0.955 0.083 1
Cs1 0.495 0.146 0.656 1
I1 0.935 0.365 0.316 1
Se1 0.335 0.565 0.915 1

---

Spin magnetization in μB per formula unit, matching the order above: 0.0 0.0